[1]
This record from Alexandria via LeMat-Bulk describes Ce2EuPb after structural relaxation. The functional is PBE.

a = 4.872 Å, b = 4.872 Å, c = 5.069 Å
α = 90.00°, β = 90.00°, γ = 90.00°
Space group P4/mmm (No. 123)
One atom of each set of equivalent atoms:
Ce 0.000 0.500 0.000 [2 per cell]
Eu 0.000 0.000 0.500 [1 per cell]
Pb 0.500 0.500 0.500 [1 per cell]

* magnetic moment: 10.13 μB per formula unit
* formation energy from the elements: -218 meV per atom
* energy relative to the lowest polymorph listed for this composition: 0.0 meV per atom
* ρ: 8.8 g/cm3


[2]
This record from Alexandria via LeMat-Bulk describes SrLi3Ag after structural relaxation. The functional is PBE.

a = 5.110 Å, b = 5.110 Å, c = 5.110 Å
α = 90.00°, β = 90.00°, γ = 90.00°
Space group Pm-3m (No. 221)
One atom of each set of equivalent atoms:
Sr 0.000 0.000 0.000 [1 per cell]
Li 0.000 0.500 0.500 [3 per cell]
Ag 0.500 0.500 0.500 [1 per cell]

* magnetic moment: 0.00 μB per formula unit
* formation energy from the elements: -22 meV per atom
* energy relative to the lowest polymorph listed for this composition: 80.0 meV per atom
* ρ: 2.7 g/cm3


[3]
This record from Alexandria via LeMat-Bulk describes SmAl2GaCu4 after structural relaxation. The functional is PBE.

a = 4.1736 Å, b = 4.1736 Å, c = 25.7843 Å
α = 90.00°, β = 90.00°, γ = 120.00°
Space group R-3m (No. 166, hexagonal axes)
One atom of each set of equivalent atoms:
Sm 0.0000 0.0000 0.0000 [3 per cell]
Al 0.0000 0.0000 0.2447 [6 per cell]
Ga 0.0000 0.0000 0.5000 [3 per cell]
Cu 0.0000 0.0000 0.1291 [6 per cell]
Cu 0.0000 0.0000 0.4048 [6 per cell]

* magnetic moment: 0.00 μB per formula unit
* formation energy from the elements: -251 meV per atom
* ρ: 6.8 g/cm3


[4]
This record from Alexandria via LeMat-Bulk describes PrDy2Ga after structural relaxation. The functional is PBE.

a = 3.551 Å, b = 3.551 Å, c = 9.012 Å
α = 90.00°, β = 90.00°, γ = 90.00°
Space group P4/mmm (No. 123)
One atom of each set of equivalent atoms:
Pr 0.000 0.000 0.000 [1 per cell]
Dy 0.500 0.500 0.296 [2 per cell]
Ga 0.000 0.000 0.500 [1 per cell]

* magnetic moment: 0.00 μB per formula unit
* formation energy from the elements: -285 meV per atom
* energy relative to the lowest polymorph listed for this composition: 0.0 meV per atom
* ρ: 7.8 g/cm3


[5]
This record from Alexandria via LeMat-Bulk describes Mg3Sc2Ag3 after structural relaxation. The functional is PBE.

a = 4.8342 Å, b = 4.8342 Å, c = 23.5914 Å
α = 90.00°, β = 90.00°, γ = 120.00°
Space group R3m (No. 160, hexagonal axes)
One atom of each set of equivalent atoms:
Mg 0.0000 0.0000 0.0000 [3 per cell]
Mg 0.0000 0.0000 0.1289 [3 per cell]
Mg 0.0000 0.0000 0.5068 [3 per cell]
Sc 0.0000 0.0000 0.2579 [3 per cell]
Sc 0.0000 0.0000 0.7476 [3 per cell]
Ag 0.0000 0.0000 0.3837 [3 per cell]
Ag 0.0000 0.0000 0.6263 [3 per cell]
Ag 0.0000 0.0000 0.8732 [3 per cell]

* magnetic moment: 0.00 μB per formula unit
* formation energy from the elements: -218 meV per atom
* ρ: 5.1 g/cm3


[6]
This record from Alexandria via LeMat-Bulk describes Er2LuCd after structural relaxation. The functional is PBE.

a = 7.602 Å, b = 7.602 Å, c = 7.602 Å
α = 90.00°, β = 90.00°, γ = 90.00°
Space group Fm-3m (No. 225)
One atom of each set of equivalent atoms:
Er 0.250 0.250 0.250 [8 per cell]
Lu 0.000 0.000 0.000 [4 per cell]
Cd 0.000 0.000 0.500 [4 per cell]

* magnetic moment: 0.00 μB per formula unit
* formation energy from the elements: -25 meV per atom
* energy relative to the lowest polymorph listed for this composition: 113.4 meV per atom
* ρ: 9.4 g/cm3


[7]
This record from Alexandria via LeMat-Bulk describes K2VBr after structural relaxation. The functional is PBE.

a = 8.553 Å, b = 8.553 Å, c = 8.553 Å
α = 90.00°, β = 90.00°, γ = 90.00°
Space group Fm-3m (No. 225)
One atom of each set of equivalent atoms:
K 0.250 0.250 0.250 [8 per cell]
V 0.000 0.000 0.000 [4 per cell]
Br 0.000 0.000 0.500 [4 per cell]

* magnetic moment: 3.98 μB per formula unit
* energy relative to the lowest polymorph listed for this composition: 33.3 meV per atom
* ρ: 2.2 g/cm3
* formation energy (no corrections): 0.2716 eV per atom


[8]
This record from Alexandria via LeMat-Bulk describes YPa2C after structural relaxation. The functional is PBE.

a = 3.3408 Å, b = 3.3408 Å, c = 28.3775 Å
α = 90.00°, β = 90.00°, γ = 120.00°
Space group R-3m (No. 166, hexagonal axes)
One atom of each set of equivalent atoms:
Y 0.0000 0.0000 0.0000 [3 per cell]
Pa 0.0000 0.0000 0.1142 [6 per cell]
C 0.0000 0.0000 0.5000 [3 per cell]

* magnetic moment: 0.00 μB per formula unit
* formation energy from the elements: 9 meV per atom
* ρ: 10.2 g/cm3


[9]
This record from Alexandria via LeMat-Bulk describes Nd6SmEr12 after structural relaxation. The functional is PBE.

a = 13.2151 Å, b = 13.2151 Å, c = 12.6143 Å
α = 90.00°, β = 90.00°, γ = 120.00°
Space group R-3m (No. 166, hexagonal axes)
One atom of each set of equivalent atoms:
Nd 0.0373 0.5186 0.1174 [18 per cell]
Sm 0.0000 0.0000 0.5000 [3 per cell]
Er 0.0000 0.2561 0.0000 [18 per cell]
Er 0.0915 0.1830 0.7641 [18 per cell]

* magnetic moment: 0.00 μB per formula unit
* formation energy from the elements: 217 meV per atom
* energy relative to the lowest polymorph listed for this composition: 97.7 meV per atom
* ρ: 7.9 g/cm3


[10]
This record from Alexandria via LeMat-Bulk describes InFe2Au after structural relaxation. The functional is PBE.

a = 4.033 Å, b = 4.033 Å, c = 7.749 Å
α = 90.00°, β = 90.00°, γ = 90.00°
Space group I-4m2 (No. 119)
One atom of each set of equivalent atoms:
In 0.000 0.000 0.000 [2 per cell]
Fe 0.000 0.000 0.500 [2 per cell]
Fe 0.000 0.500 0.250 [2 per cell]
Au 0.000 0.500 0.750 [2 per cell]

* magnetic moment: 5.27 μB per formula unit
* formation energy from the elements: 175 meV per atom
* ρ: 11.2 g/cm3


[11]
This record from Alexandria via LeMat-Bulk describes Li2YI after structural relaxation. The functional is PBE.

a = 7.392 Å, b = 7.392 Å, c = 7.392 Å
α = 90.00°, β = 90.00°, γ = 90.00°
Space group Fm-3m (No. 225)
One atom of each set of equivalent atoms:
Li 0.250 0.250 0.250 [8 per cell]
Y 0.000 0.000 0.000 [4 per cell]
I 0.000 0.000 0.500 [4 per cell]

* magnetic moment: 0.00 μB per formula unit
* energy relative to the lowest polymorph listed for this composition: 303.2 meV per atom
* ρ: 3.8 g/cm3
* formation energy (no corrections): 0.1297 eV per atom


[12]
This record from Alexandria via LeMat-Bulk describes TaCuMo2 after structural relaxation. The functional is PBE.

a = 6.307 Å, b = 6.307 Å, c = 6.307 Å
α = 90.00°, β = 90.00°, γ = 90.00°
Space group Fm-3m (No. 225)
One atom of each set of equivalent atoms:
Ta 0.000 0.000 0.000 [4 per cell]
Cu 0.000 0.000 0.500 [4 per cell]
Mo 0.250 0.250 0.250 [8 per cell]

* magnetic moment: 0.00 μB per formula unit
* formation energy from the elements: 304 meV per atom
* energy relative to the lowest polymorph listed for this composition: 233.9 meV per atom
* ρ: 11.6 g/cm3


[13]
This record from Alexandria via LeMat-Bulk describes Ce2CdGe4Ir3 after structural relaxation. The functional is PBE.

a = 4.312 Å, b = 4.312 Å, c = 10.376 Å
α = 90.00°, β = 90.00°, γ = 90.00°
Space group P-4m2 (No. 115)
One atom of each set of equivalent atoms:
Ce 0.000 0.500 0.237 [2 per cell]
Cd 0.000 0.000 0.500 [1 per cell]
Ge 0.000 0.000 0.000 [1 per cell]
Ge 0.000 0.500 0.646 [2 per cell]
Ge 0.500 0.500 0.000 [1 per cell]
Ir 0.000 0.500 0.879 [2 per cell]
Ir 0.500 0.500 0.500 [1 per cell]

* magnetic moment: 0.77 μB per formula unit
* formation energy from the elements: -615 meV per atom
* ρ: 10.8 g/cm3


[14]
This record from Alexandria via LeMat-Bulk describes Ca2AcHoTe4 after structural relaxation. The functional is PBE.

a = 7.816 Å, b = 4.495 Å, c = 7.908 Å
α = 90.00°, β = 109.08°, γ = 90.00°
Space group P2/m (No. 10)
One atom of each set of equivalent atoms:
Ca 0.000 0.000 0.000 [1 per cell]
Ca 0.500 0.500 0.000 [1 per cell]
Ac 0.000 0.500 0.500 [1 per cell]
Ho 0.500 0.000 0.500 [1 per cell]
Te 0.264 0.500 0.250 [2 per cell]
Te 0.268 0.000 0.761 [2 per cell]

* magnetic moment: 0.00 μB per formula unit
* ρ: 6.2 g/cm3
* formation energy (no corrections): -1.4691 eV per atom


[15]
This record from Alexandria via LeMat-Bulk describes Pr4In2Co after structural relaxation. The functional is PBE.

a = 5.201 Å, b = 5.201 Å, c = 16.432 Å
α = 90.00°, β = 90.00°, γ = 90.00°
Space group I4/mmm (No. 139)
One atom of each set of equivalent atoms:
Pr 0.000 0.000 0.176 [4 per cell]
Pr 0.000 0.500 0.000 [4 per cell]
In 0.000 0.000 0.368 [4 per cell]
Co 0.000 0.000 0.000 [2 per cell]

* magnetic moment: 0.00 μB per formula unit
* formation energy from the elements: -162 meV per atom
* ρ: 6.4 g/cm3


[16]
This record from Alexandria via LeMat-Bulk describes Pm2SmPb3 after structural relaxation. The functional is PBE.

a = 3.597 Å, b = 3.597 Å, c = 13.724 Å
α = 90.00°, β = 90.00°, γ = 90.00°
Space group P4/mmm (No. 123)
One atom of each set of equivalent atoms:
Pm 0.000 0.000 0.167 [2 per cell]
Sm 0.000 0.000 0.500 [1 per cell]
Pb 0.500 0.500 0.000 [1 per cell]
Pb 0.500 0.500 0.334 [2 per cell]

* magnetic moment: 0.00 μB per formula unit
* formation energy from the elements: -500 meV per atom
* energy relative to the lowest polymorph listed for this composition: 7.6 meV per atom
* ρ: 9.9 g/cm3


[17]
This record from Alexandria via LeMat-Bulk describes NpPaV2 after structural relaxation. The functional is PBE.

a = 3.154 Å, b = 3.154 Å, c = 7.378 Å
α = 90.00°, β = 90.00°, γ = 90.00°
Space group P4/mmm (No. 123)
One atom of each set of equivalent atoms:
Np 0.000 0.000 0.000 [1 per cell]
Pa 0.000 0.000 0.500 [1 per cell]
V 0.500 0.500 0.191 [2 per cell]

* magnetic moment: 1.45 μB per formula unit
* formation energy from the elements: 409 meV per atom
* energy relative to the lowest polymorph listed for this composition: 0.0 meV per atom
* ρ: 12.9 g/cm3


[18]
This record from Alexandria via LeMat-Bulk describes Ac15La4Pr after structural relaxation. The functional is PBE.

a = 5.565 Å, b = 5.565 Å, c = 27.791 Å
α = 90.00°, β = 90.00°, γ = 90.00°
Space group P4/mmm (No. 123)
One atom of each set of equivalent atoms:
Ac 0.000 0.000 0.000 [1 per cell]
Ac 0.000 0.000 0.199 [2 per cell]
Ac 0.000 0.000 0.400 [2 per cell]
Ac 0.000 0.500 0.099 [4 per cell]
Ac 0.000 0.500 0.300 [4 per cell]
Ac 0.000 0.500 0.500 [2 per cell]
La 0.500 0.500 0.200 [2 per cell]
La 0.500 0.500 0.400 [2 per cell]
Pr 0.500 0.500 0.000 [1 per cell]

* magnetic moment: 0.00 μB per formula unit
* formation energy from the elements: 22 meV per atom
* ρ: 7.9 g/cm3


[19]
This record from Alexandria via LeMat-Bulk describes TaCd2Sb after structural relaxation. The functional is PBE.

a = 3.1921 Å, b = 3.1921 Å, c = 30.1524 Å
α = 90.00°, β = 90.00°, γ = 120.00°
Space group R3m (No. 160, hexagonal axes)
One atom of each set of equivalent atoms:
Ta 0.0000 0.0000 0.0000 [3 per cell]
Cd 0.0000 0.0000 0.2543 [3 per cell]
Cd 0.0000 0.0000 0.5032 [3 per cell]
Sb 0.0000 0.0000 0.7427 [3 per cell]

* magnetic moment: 0.00 μB per formula unit
* ρ: 9.9 g/cm3
* formation energy (no corrections): 0.2347 eV per atom


[20]
This record from Alexandria via LeMat-Bulk describes CsSb2PdAu after structural relaxation. The functional is PBE.

a = 5.157 Å, b = 5.157 Å, c = 7.179 Å
α = 90.00°, β = 90.00°, γ = 90.00°
Space group P4mm (No. 99)
One atom of each set of equivalent atoms:
Cs 0.000 0.000 0.000 [1 per cell]
Sb 0.000 0.500 0.434 [2 per cell]
Pd 0.000 0.000 0.542 [1 per cell]
Au 0.500 0.500 0.291 [1 per cell]

* magnetic moment: 0.00 μB per formula unit
* ρ: 5.9 g/cm3
* formation energy (no corrections): -0.2483 eV per atom